[1]
La2PmHg: relaxed, PBE-GGA.

a b c (Å): 3.8098 3.8098 9.0749
angles (deg): 90.00 90.00 90.00
Last column: nearest neighbours and their distance in Å.
Space group P4/mmm (No. 123)
Asymmetric unit:
La 0.0000 0.0000 0.2233  4 Hg 3.37, 4 Pm 3.68
Pm 0.5000 0.5000 0.5000  8 La 3.68, 4 Pm 3.81
Hg 0.5000 0.5000 0.0000  8 La 3.37

Results
Energy above the most stable polymorph in this dataset, meV per atom: 0
DFT total energy, eV per cell: -15.84

***

[2]
La5Nd6Sm2: relaxed, PBE-GGA.

a b c (Å): 11.9915 21.1874 3.6982
angles (deg): 90.00 90.00 90.00
Last column: nearest neighbours and their distance in Å.
Space group Pbam (No. 55)
Asymmetric unit:
La 0.0000 0.0000 0.0000  6 Nd 3.48-3.60, 4 La 3.70-3.75
La 0.0816 0.2732 0.0000  5 Nd 3.46-3.62, 4 Sm 3.58-3.72, 2 La 3.70
La 0.1998 0.5501 0.0000  6 Nd 3.64-3.73, 3 La 3.70-3.75, 2 Sm 3.89
Nd 0.0595 0.4195 0.5000  6 La 3.62-3.73, 5 Nd 3.70-3.85, 1 Sm 3.92
Nd 0.0818 0.1313 0.5000  1 Sm 3.39, 6 La 3.48-3.64, 4 Nd 3.62-3.70
Nd 0.1772 0.8626 0.0000  2 La 3.46-3.60, 6 Nd 3.62-3.85, 2 Sm 3.71
Sm 0.1728 0.7109 0.5000  3 Nd 3.39-3.71, 4 La 3.58-3.72, 2 Sm 3.70

Results
DFT total energy, eV per cell: -123.29

***

no.,density of states at the Fermi level (states/eV per cell)
1,4.74
2,34.32